# 1
Entry from Alexandria via LeMat-Bulk: a relaxed structure of Rb2ScBeBr6 (GGA-PBE).

Cell lengths 7.539, 7.539, 7.539 Å; angles 120.39, 120.39, 89.32 degrees
Element x y z (fractional)
Rb (0.250, 0.750, 0.500)
Rb (0.750, 0.250, 0.500)
Sc (0.000, 0.000, 0.000)
Be (0.500, 0.500, 0.000)
Br (0.254, 0.254, 0.000)
Br (0.258, 0.258, 0.517)
Br (0.258, 0.742, 0.000)
Br (0.742, 0.258, 0.000)
Br (0.742, 0.742, 0.483)
Br (0.746, 0.746, 0.000)

Formation energy from raw total energies: -1.280 eV/atom

=====

# 2
Entry from Alexandria via LeMat-Bulk: a relaxed structure of Ti12Co6Pt (GGA-PBE).

Cell lengths 7.056, 7.056, 7.056 Å; angles 101.52, 101.52, 101.52 degrees
Element x y z (fractional)
Ti (0.070, 0.922, 0.336)
Ti (0.078, 0.664, 0.930)
Ti (0.176, 0.426, 0.571)
Ti (0.336, 0.070, 0.922)
Ti (0.426, 0.571, 0.176)
Ti (0.429, 0.824, 0.574)
Ti (0.571, 0.176, 0.426)
Ti (0.574, 0.429, 0.824)
Ti (0.664, 0.930, 0.078)
Ti (0.824, 0.574, 0.429)
Ti (0.922, 0.336, 0.070)
Ti (0.930, 0.078, 0.664)
Co (0.140, 0.612, 0.305)
Co (0.305, 0.140, 0.612)
Co (0.388, 0.695, 0.860)
Co (0.612, 0.305, 0.140)
Co (0.695, 0.860, 0.388)
Co (0.860, 0.388, 0.695)
Pt (0.000, 0.000, 0.000)

ΔE_f: 0.001 eV per atom

=====

# 3
Entry from Alexandria via LeMat-Bulk: a relaxed structure of KSmPb2 (GGA-PBE).

Cell lengths 4.190, 4.190, 8.024 Å; angles 90.00, 90.00, 90.00 degrees
Element x y z (fractional)
K (0.000, 0.000, 0.000)
Sm (0.000, 0.000, 0.500)
Pb (0.500, 0.500, 0.303)
Pb (0.500, 0.500, 0.697)

ΔE_f: -0.318 eV per atom

=====

# 4
Entry from Alexandria via LeMat-Bulk: a relaxed structure of Ho2AgGe (GGA-PBE).

Cell lengths 4.969, 4.969, 3.721 Å; angles 90.00, 90.00, 90.00 degrees
Element x y z (fractional)
Ho (0.000, 0.500, 0.000)
Ho (0.500, 0.000, 0.000)
Ag (0.000, 0.000, 0.500)
Ge (0.500, 0.500, 0.500)

ΔE_f: -0.518 eV per atom

=====

# 5
Entry from Alexandria via LeMat-Bulk: a relaxed structure of CoNi (GGA-PBE).

Cell lengths 4.627, 4.627, 4.659 Å; angles 90.00, 90.00, 90.00 degrees
Element x y z (fractional)
Co (0.181, 0.181, 0.000)
Co (0.319, 0.681, 0.500)
Co (0.681, 0.319, 0.500)
Co (0.819, 0.819, 0.000)
Ni (0.184, 0.184, 0.500)
Ni (0.316, 0.684, 0.000)
Ni (0.684, 0.316, 0.000)
Ni (0.816, 0.816, 0.500)

ΔE_f: 0.607 eV per atom

=====

# 6
Entry from Alexandria via LeMat-Bulk: a relaxed structure of LaHgP (GGA-PBE).

Cell lengths 5.029, 5.029, 5.029 Å; angles 60.00, 60.00, 60.00 degrees
Element x y z (fractional)
La (0.000, 0.000, 0.000)
Hg (0.750, 0.750, 0.750)
P (0.250, 0.250, 0.250)

ΔE_f: -0.578 eV per atom

=====

# 7
Entry from Alexandria via LeMat-Bulk: a relaxed structure of Tl4InHg2 (GGA-PBE).

Cell lengths 6.619, 6.619, 6.619 Å; angles 113.23, 113.23, 102.19 degrees
Element x y z (fractional)
Tl (0.000, 0.000, 0.500)
Tl (0.000, 0.500, 0.000)
Tl (0.500, 0.000, 0.000)
Tl (0.500, 0.500, 0.500)
In (0.000, 0.000, 0.000)
Hg (0.000, 0.500, 0.500)
Hg (0.500, 0.000, 0.500)

ΔE_f: 0.047 eV per atom

=====

# 8
Entry from Alexandria via LeMat-Bulk: a relaxed structure of PrNd5Tl4 (GGA-PBE).

Cell lengths 8.446, 9.414, 8.846 Å; angles 90.00, 90.00, 90.00 degrees
Element x y z (fractional)
Pr (0.250, 0.250, 0.169)
Pr (0.750, 0.750, 0.831)
Nd (0.008, 0.554, 0.232)
Nd (0.008, 0.946, 0.232)
Nd (0.250, 0.750, 0.581)
Nd (0.492, 0.554, 0.232)
Nd (0.492, 0.946, 0.232)
Nd (0.508, 0.054, 0.768)
Nd (0.508, 0.446, 0.768)
Nd (0.750, 0.250, 0.419)
Nd (0.992, 0.054, 0.768)
Nd (0.992, 0.446, 0.768)
Tl (0.083, 0.750, 0.939)
Tl (0.250, 0.087, 0.499)
Tl (0.250, 0.413, 0.499)
Tl (0.417, 0.750, 0.939)
Tl (0.583, 0.250, 0.061)
Tl (0.750, 0.587, 0.501)
Tl (0.750, 0.913, 0.501)
Tl (0.917, 0.250, 0.061)

ΔE_f: -0.061 eV per atom

=====

# 9
Entry from Alexandria via LeMat-Bulk: a relaxed structure of ThPa2Nb (GGA-PBE).

Cell lengths 5.197, 5.197, 5.197 Å; angles 60.00, 60.00, 60.00 degrees
Element x y z (fractional)
Th (0.000, 0.000, 0.000)
Pa (0.250, 0.250, 0.250)
Pa (0.750, 0.750, 0.750)
Nb (0.500, 0.500, 0.500)

ΔE_f: 0.364 eV per atom

=====

# 10
Entry from Alexandria via LeMat-Bulk: a relaxed structure of SrZr2Pt (GGA-PBE).

Cell lengths 4.265, 4.265, 5.199 Å; angles 90.00, 90.00, 90.00 degrees
Element x y z (fractional)
Sr (0.000, 0.000, 0.000)
Zr (0.000, 0.500, 0.500)
Zr (0.500, 0.000, 0.500)
Pt (0.500, 0.500, 0.000)

ΔE_f: 0.036 eV per atom

=====

# 11
Entry from Alexandria via LeMat-Bulk: a relaxed structure of CuMoAu (GGA-PBE).

Cell lengths 4.281, 4.281, 4.281 Å; angles 60.00, 60.00, 60.00 degrees
Element x y z (fractional)
Cu (0.000, 0.000, 0.000)
Mo (0.750, 0.750, 0.750)
Au (0.500, 0.500, 0.500)

ΔE_f: 0.857 eV per atom

=====

# 12
Entry from Alexandria via LeMat-Bulk: a relaxed structure of Li2AlH (GGA-PBE).

Cell lengths 5.289, 5.289, 5.289 Å; angles 119.19, 119.19, 91.41 degrees
Element x y z (fractional)
Li (0.375, 0.188, 0.313)
Li (0.812, 0.125, 0.187)
Li (0.875, 0.062, 0.687)
Li (0.938, 0.625, 0.813)
Al (0.250, 0.750, 0.500)
Al (0.500, 0.500, 0.000)
H (0.000, 0.000, 0.000)
H (0.750, 0.250, 0.500)

=====

# 13
Entry from Alexandria via LeMat-Bulk: a relaxed structure of TbCeDyY2 (GGA-PBE).

Cell lengths 8.201, 6.730, 5.907 Å; angles 90.00, 90.11, 90.00 degrees
Element x y z (fractional)
Tb (0.000, 0.084, 0.250)
Tb (0.000, 0.916, 0.750)
Ce (0.000, 0.500, 0.000)
Ce (0.000, 0.500, 0.500)
Dy (0.500, 0.335, 0.250)
Dy (0.500, 0.665, 0.750)
Y (0.303, 0.190, 0.749)
Y (0.303, 0.810, 0.249)
Y (0.697, 0.190, 0.751)
Y (0.697, 0.810, 0.251)

ΔE_f: 0.305 eV per atom

=====

# 14
Entry from Alexandria via LeMat-Bulk: a relaxed structure of CaPm2RuO8 (GGA-PBE).

Cell lengths 5.128, 5.128, 7.036 Å; angles 90.00, 90.00, 90.81 degrees
Element x y z (fractional)
Ca (0.000, 0.000, 0.000)
Pm (0.500, 0.500, 0.247)
Pm (0.500, 0.500, 0.753)
Ru (0.000, 0.000, 0.500)
O (0.179, 0.821, 0.307)
O (0.179, 0.821, 0.693)
O (0.265, 0.265, 0.500)
O (0.307, 0.307, 0.000)
O (0.693, 0.693, 0.000)
O (0.735, 0.735, 0.500)
O (0.821, 0.179, 0.307)
O (0.821, 0.179, 0.693)

Formation energy from raw total energies: -2.059 eV/atom

=====

# 15
Entry from Alexandria via LeMat-Bulk: a relaxed structure of Mg5GeI12 (GGA-PBE).

Cell lengths 7.317, 7.317, 15.536 Å; angles 90.02, 90.02, 120.03 degrees
Element x y z (fractional)
Mg (0.000, 0.000, 0.000)
Mg (0.167, 0.833, 0.500)
Mg (0.333, 0.667, 0.000)
Mg (0.667, 0.333, 0.000)
Mg (0.833, 0.167, 0.500)
Ge (0.500, 0.500, 0.500)
I (0.000, 0.333, 0.893)
I (0.000, 0.667, 0.107)
I (0.158, 0.158, 0.609)
I (0.158, 0.500, 0.391)
I (0.333, 0.000, 0.893)
I (0.333, 0.333, 0.107)
I (0.500, 0.158, 0.391)
I (0.500, 0.842, 0.609)
I (0.667, 0.000, 0.107)
I (0.667, 0.667, 0.893)
I (0.842, 0.500, 0.609)
I (0.842, 0.842, 0.391)

Formation energy from raw total energies: -0.924 eV/atom

=====

# 16
Entry from Alexandria via LeMat-Bulk: a relaxed structure of Nd5TlSb2 (GGA-PBE).

Cell lengths 5.731, 5.731, 17.970 Å; angles 90.00, 90.00, 119.89 degrees
Element x y z (fractional)
Nd (0.086, 0.914, 0.578)
Nd (0.086, 0.914, 0.922)
Nd (0.259, 0.741, 0.250)
Nd (0.406, 0.594, 0.599)
Nd (0.406, 0.594, 0.901)
Nd (0.594, 0.406, 0.099)
Nd (0.594, 0.406, 0.401)
Nd (0.741, 0.259, 0.750)
Nd (0.914, 0.086, 0.078)
Nd (0.914, 0.086, 0.422)
Tl (0.076, 0.924, 0.750)
Tl (0.924, 0.076, 0.250)
Sb (0.262, 0.738, 0.073)
Sb (0.262, 0.738, 0.427)
Sb (0.738, 0.262, 0.573)
Sb (0.738, 0.262, 0.927)

Formation energy from raw total energies: -0.521 eV/atom

=====

# 17
Entry from Alexandria via LeMat-Bulk: a relaxed structure of Ce3SnSe6 (GGA-PBE).

Cell lengths 9.013, 9.013, 7.376 Å; angles 90.00, 90.00, 102.59 degrees
Element x y z (fractional)
Ce (0.101, 0.899, 0.500)
Ce (0.214, 0.419, 0.405)
Ce (0.419, 0.214, 0.905)
Ce (0.581, 0.786, 0.405)
Ce (0.786, 0.581, 0.905)
Ce (0.899, 0.101, 0.000)
Sn (0.322, 0.678, 0.876)
Sn (0.678, 0.322, 0.376)
Se (0.058, 0.593, 0.674)
Se (0.132, 0.194, 0.705)
Se (0.194, 0.132, 0.205)
Se (0.270, 0.730, 0.273)
Se (0.407, 0.942, 0.674)
Se (0.489, 0.511, 0.646)
Se (0.511, 0.489, 0.146)
Se (0.593, 0.058, 0.174)
Se (0.730, 0.270, 0.773)
Se (0.806, 0.868, 0.705)
Se (0.868, 0.806, 0.205)
Se (0.942, 0.407, 0.174)

Formation energy from raw total energies: -1.479 eV/atom

=====

# 18
Entry from Alexandria via LeMat-Bulk: a relaxed structure of Th5Bi4Ir (GGA-PBE).

Cell lengths 7.823, 7.823, 7.823 Å; angles 99.74, 99.74, 131.42 degrees
Element x y z (fractional)
Th (0.000, 0.000, 0.000)
Th (0.237, 0.595, 0.832)
Th (0.405, 0.237, 0.642)
Th (0.595, 0.763, 0.358)
Th (0.763, 0.405, 0.168)
Bi (0.084, 0.311, 0.395)
Bi (0.311, 0.916, 0.227)
Bi (0.689, 0.084, 0.773)
Bi (0.916, 0.689, 0.605)
Ir (0.500, 0.500, 0.000)

ΔE_f: -0.655 eV per atom

=====

# 19
Entry from Alexandria via LeMat-Bulk: a relaxed structure of SrCo2Pb (GGA-PBE).

Cell lengths 3.992, 4.689, 5.563 Å; angles 90.00, 92.11, 90.00 degrees
Element x y z (fractional)
Sr (0.000, 0.000, 0.000)
Co (0.248, 0.500, 0.595)
Co (0.752, 0.500, 0.405)
Pb (0.500, 0.000, 0.500)

ΔE_f: 0.457 eV per atom

=====

# 20
Entry from Alexandria via LeMat-Bulk: a relaxed structure of ErAl20Cr2 (GGA-PBE).

Cell lengths 10.186, 10.186, 10.186 Å; angles 60.00, 60.00, 60.00 degrees
Element x y z (fractional)
Er (0.125, 0.125, 0.125)
Er (0.875, 0.875, 0.875)
Al (0.000, 0.000, 0.000)
Al (0.000, 0.000, 0.500)
Al (0.000, 0.500, 0.000)
Al (0.057, 0.326, 0.326)
Al (0.057, 0.326, 0.791)
Al (0.057, 0.791, 0.326)
Al (0.209, 0.674, 0.674)
Al (0.209, 0.674, 0.943)
Al (0.209, 0.943, 0.674)
Al (0.238, 0.238, 0.512)
Al (0.238, 0.512, 0.238)
Al (0.238, 0.512, 0.512)
Al (0.326, 0.057, 0.326)
Al (0.326, 0.057, 0.791)
Al (0.326, 0.326, 0.057)
Al (0.326, 0.326, 0.791)
Al (0.326, 0.791, 0.057)
Al (0.326, 0.791, 0.326)
Al (0.488, 0.488, 0.762)
Al (0.488, 0.762, 0.488)
Al (0.488, 0.762, 0.762)
Al (0.500, 0.000, 0.000)
Al (0.512, 0.238, 0.238)
Al (0.512, 0.238, 0.512)
Al (0.512, 0.512, 0.238)
Al (0.674, 0.209, 0.674)
Al (0.674, 0.209, 0.943)
Al (0.674, 0.674, 0.209)
Al (0.674, 0.674, 0.943)
Al (0.674, 0.943, 0.209)
Al (0.674, 0.943, 0.674)
Al (0.762, 0.488, 0.488)
Al (0.762, 0.488, 0.762)
Al (0.762, 0.762, 0.488)
Al (0.791, 0.057, 0.326)
Al (0.791, 0.326, 0.057)
Al (0.791, 0.326, 0.326)
Al (0.943, 0.209, 0.674)
Al (0.943, 0.674, 0.209)
Al (0.943, 0.674, 0.674)
Cr (0.000, 0.500, 0.500)
Cr (0.500, 0.000, 0.500)
Cr (0.500, 0.500, 0.000)
Cr (0.500, 0.500, 0.500)

ΔE_f: -0.143 eV per atom

=====

The records above yield E_tot values of -3.48; -7.55; -3.63; -4.67; -5.84; -4.12; -1.78; -3.87; -8.76; -6.17; -5.21; -2.82; -5.31; -7.10; -2.66; -4.83; -5.75; -6.80; -4.44; -4.43 eV per atom, respectively.